Entry 1:
## TaCrCd2 (PBE-GGA)

Data for TaCrCd2 after structural relaxation.

Computed properties:
The calculation puts the energy relative to the elements at 0.490 eV/atom. The offset from the most stable computed form is 0.82 eV per formula unit.

Cell: 3.898 3.898 4.583 Å, 90.00 90.00 90.00°
Sites, in units of the cell vectors:
Ta 0.000 0.000 0.000
Cr 0.500 0.500 0.000
Cd 0.000 0.500 0.500
Cd 0.500 0.000 0.500

Entry 2:
## Cr3CCl (PBE-GGA)

Data for Cr3CCl after structural relaxation.

Computed properties:
The offset from the most stable computed form is 0.00 eV per formula unit. For the uncorrected formation energy, the calculation gives 0.7274 eV per atom.

Cell: 3.925 3.925 3.925 Å, 90.00 90.00 90.00°
Sites, in units of the cell vectors:
Cr 0.000 0.000 0.500
Cr 0.000 0.500 0.000
Cr 0.500 0.000 0.000
C 0.000 0.000 0.000
Cl 0.500 0.500 0.500

Entry 3:
## Sm2Tm2Cu (PBE-GGA)

Data for Sm2Tm2Cu after structural relaxation.

Computed properties:
The calculation puts the energy relative to the elements at -0.084 eV/atom.

Cell: 11.573 11.573 11.573 Å, 162.65 162.65 24.63°
Sites, in units of the cell vectors:
Sm 0.192 0.192 0.000
Sm 0.808 0.808 0.000
Tm 0.427 0.427 0.000
Tm 0.573 0.573 0.000
Cu 0.000 0.000 0.000

Entry 4:
## ZnReS3 (PBE-GGA)

Data for ZnReS3 after structural relaxation.

Computed properties:
The offset from the most stable computed form is 5.41 eV per formula unit. For the uncorrected formation energy, the calculation gives 1.4154 eV per atom.

Cell: 4.462 4.462 4.462 Å, 90.00 90.00 90.00°
Sites, in units of the cell vectors:
Zn 0.000 0.000 0.000
Re 0.500 0.500 0.500
S 0.000 0.000 0.500
S 0.000 0.500 0.000
S 0.500 0.000 0.000